Entry 1:
! NaAsPtSe2 GGA-PBE optimized geometry; values from VASP
&SYSTEM
  ibrav = 0, nat = 5, ntyp = 4
/
ATOMIC_SPECIES
Se 78.96 Se.upf
Na 22.99 Na.upf
Pt 195.08 Pt.upf
As 74.92 As.upf
ATOMIC_POSITIONS crystal
Se 0.500 0.000 0.000
Se 0.000 0.500 0.000
Na 0.000 0.000 0.000
Pt 0.500 0.500 0.500
As 0.000 0.000 0.500
CELL_PARAMETERS angstrom
-2.535 -2.982 -3.001
4.166 -2.367 -1.168
-0.728 -3.110 3.705
! - SG: P4/mmm, No. 123
! - Total energy: -0.1900 Ry/atom
! - Formation energy from raw total energies: 1210 meV/atom
! - Energy above the most stable polymorph in this dataset: 1.192 eV per atom

Entry 2:
! FeRe2GeRu GGA-PBE optimized geometry; values from VASP
&SYSTEM
  ibrav = 0, nat = 5, ntyp = 4
/
ATOMIC_SPECIES
Fe 55.84 Fe.upf
Ge 72.64 Ge.upf
Ru 101.07 Ru.upf
Re 186.21 Re.upf
ATOMIC_POSITIONS crystal
Fe 0.000 0.000 0.000
Ge 0.000 0.500 0.000
Ru 0.500 0.500 0.500
Re 0.000 0.000 0.500
Re 0.500 0.000 0.000
CELL_PARAMETERS angstrom
4.399 0.000 0.000
0.000 4.258 0.000
0.000 0.000 4.399
! - SG: P4/mmm, No. 123
! - DFT formation energy: 1399 meV/atom
! - Total energy: -0.5918 Ry/atom

Entry 3:
! KAuS2 GGA-PBE optimized geometry; values from VASP
&SYSTEM
  ibrav = 0, nat = 4, ntyp = 3
/
ATOMIC_SPECIES
K 39.10 K.upf
S 32.06 S.upf
Au 196.97 Au.upf
ATOMIC_POSITIONS crystal
K 0.000 0.000 0.000
S 0.250 0.250 0.250
S 0.750 0.750 0.750
Au 0.500 0.500 0.500
CELL_PARAMETERS angstrom
1.871 -3.946 -2.288
-2.500 -4.249 -0.027
-2.049 -1.628 -4.178
! - SG: Fm-3m, No. 225
! - Total energy: -0.2166 Ry/atom
! - Formation energy from raw total energies: 211 meV/atom